[1]
This record from Alexandria via LeMat-Bulk describes a relaxed structure of ZrBeSn3. The functional is GGA-PBE.

Output
Fermi-level density of states, states/eV per atom: 1.10
M_tot, μB/atom: 0.000
Offset from the most stable computed form, eV/atom: 0.0000
Space-group type: No. 221
Formation energy from the elements, eV per formula unit: 2.365

Geometry as POSCAR:
```
ZrBeSn3
1.0
4.888 0.000 0.000
0.000 4.888 0.000
0.000 0.000 4.888
Zr Be Sn
1 1 3
Direct
0.000 0.000 0.000
0.500 0.500 0.500
0.000 0.500 0.500
0.500 0.000 0.500
0.500 0.500 0.000
```

=====

[2]
This record from Alexandria via LeMat-Bulk describes a relaxed structure of NaRe2Ge. The functional is GGA-PBE.

Output
Fermi-level density of states, states/eV per atom: 0.60
M_tot, μB/atom: 0.000
Space-group type: No. 122
Formation energy from the elements, eV per formula unit: 3.678

Geometry as POSCAR:
```
NaRe2Ge
1.0
3.957 0.000 0.000
0.000 3.957 0.000
0.000 0.000 19.146
Na Re Ge
4 8 4
Direct
0.000 0.000 0.000
0.000 0.500 0.250
0.500 0.000 0.750
0.500 0.500 0.500
0.172 0.250 0.625
0.250 0.672 0.875
0.250 0.828 0.375
0.328 0.250 0.125
0.672 0.750 0.125
0.750 0.172 0.375
0.750 0.328 0.875
0.828 0.750 0.625
0.000 0.000 0.500
0.000 0.500 0.750
0.500 0.000 0.250
0.500 0.500 0.000
```

=====

[3]
This record from Alexandria via LeMat-Bulk describes a relaxed structure of MnPt2W. The functional is GGA-PBE.

Output
Fermi-level density of states, states/eV per atom: 0.71
M_tot, μB/atom: 0.795
Offset from the most stable computed form, eV/atom: 0.0577
Space-group type: No. 65
Formation energy from the elements, eV per formula unit: -0.938

Geometry as POSCAR:
```
MnPt2W
1.0
5.494 0.000 0.000
0.000 7.950 0.000
0.000 0.000 2.768
Mn Pt W
2 4 2
Direct
0.000 0.000 0.000
0.500 0.500 0.000
0.250 0.250 0.500
0.250 0.750 0.500
0.750 0.250 0.500
0.750 0.750 0.500
0.000 0.500 0.000
0.500 0.000 0.000
```

=====

[4]
This record from Alexandria via LeMat-Bulk describes a relaxed structure of BaBPdI. The functional is GGA-PBE.

Output
Fermi-level density of states, states/eV per atom: 0.28
M_tot, μB/atom: 0.000
Offset from the most stable computed form, eV/atom: 0.0215
Space-group type: No. 1
Formation energy from raw total energies, eV/atom: -0.156

Geometry as POSCAR:
```
BaBPdI
1.0
3.989 0.000 0.000
1.940 4.760 0.000
1.984 0.958 6.929
Ba B Pd I
1 1 1 1
Direct
0.000 0.000 0.000
0.822 0.578 0.768
0.372 0.534 0.711
0.564 0.544 0.315
```